This record from Alexandria describes a geometry-optimized TiCoPS2 structure. The functional is PBE-GGA.

formation energy without anion corrections	194.4	meV/atom
volume	16.6	Å³/atom
excess energy over the best structure of this formula in the dataset	0.00	eV per formula unit
size of the total moment	0.00	Bohr magnetons per cell

Unit cell a=4.441 b=4.441 c=4.208 alpha=90.00 beta=90.00 gamma=90.00
Fractional positions:
Ti 0.000 0.000 0.000
Co 0.500 0.500 0.500
P 0.500 0.500 0.000
S 0.000 0.500 0.500
S 0.500 0.000 0.500


This record from Alexandria describes a geometry-optimized ZnCoPS2 structure. The functional is PBE-GGA.

formation energy without anion corrections	434.8	meV/atom
volume	17.7	Å³/atom
excess energy over the best structure of this formula in the dataset	0.00	eV per formula unit
size of the total moment	0.00	Bohr magnetons per cell

Unit cell a=4.651 b=4.651 c=4.092 alpha=90.00 beta=90.00 gamma=90.00
Fractional positions:
Zn 0.000 0.000 0.000
Co 0.500 0.500 0.500
P 0.500 0.500 0.000
S 0.000 0.500 0.500
S 0.500 0.000 0.500


This record from Alexandria describes a geometry-optimized ZnCoP2S structure. The functional is PBE-GGA.

formation energy without anion corrections	456.3	meV/atom
volume	17.8	Å³/atom
excess energy over the best structure of this formula in the dataset	0.00	eV per formula unit
size of the total moment	0.00	Bohr magnetons per cell

Unit cell a=4.186 b=4.186 c=5.082 alpha=90.00 beta=90.00 gamma=90.00
Fractional positions:
Zn 0.000 0.000 0.000
Co 0.500 0.500 0.500
P 0.000 0.500 0.500
P 0.500 0.000 0.500
S 0.500 0.500 0.000


This record from Alexandria describes a geometry-optimized ZnCoPS2 structure. The functional is PBE-GGA.

formation energy without anion corrections	1111.3	meV/atom
volume	19.8	Å³/atom
excess energy over the best structure of this formula in the dataset	3.38	eV per formula unit
size of the total moment	2.27	Bohr magnetons per cell

Unit cell a=4.697 b=4.697 c=4.483 alpha=90.00 beta=90.00 gamma=90.00
Fractional positions:
Zn 0.000 0.000 0.000
Co 0.500 0.500 0.500
P 0.000 0.000 0.500
S 0.000 0.500 0.000
S 0.500 0.000 0.000


This record from Alexandria describes a geometry-optimized ZrCoPS2 structure. The functional is PBE-GGA.

formation energy without anion corrections	410.7	meV/atom
volume	24.6	Å³/atom
excess energy over the best structure of this formula in the dataset	2.60	eV per formula unit
size of the total moment	2.92	Bohr magnetons per cell

Unit cell a=4.925 b=4.925 c=5.081 alpha=90.00 beta=90.00 gamma=90.00
Fractional positions:
Zr 0.000 0.000 0.000
Co 0.500 0.500 0.500
P 0.000 0.000 0.500
S 0.000 0.500 0.000
S 0.500 0.000 0.000


This record from Alexandria describes a geometry-optimized ZrCoP2S structure. The functional is PBE-GGA.

formation energy without anion corrections	8.8	meV/atom
volume	16.8	Å³/atom
excess energy over the best structure of this formula in the dataset	0.00	eV per formula unit
size of the total moment	0.00	Bohr magnetons per cell

Unit cell a=4.260 b=4.260 c=4.636 alpha=90.00 beta=90.00 gamma=90.00
Fractional positions:
Zr 0.000 0.000 0.000
Co 0.500 0.500 0.500
P 0.000 0.500 0.500
P 0.500 0.000 0.500
S 0.500 0.500 0.000


This record from Alexandria describes a geometry-optimized ZrCoPS2 structure. The functional is PBE-GGA.

formation energy without anion corrections	-108.5	meV/atom
volume	16.8	Å³/atom
excess energy over the best structure of this formula in the dataset	0.00	eV per formula unit
size of the total moment	0.00	Bohr magnetons per cell

Unit cell a=4.428 b=4.428 c=4.283 alpha=90.00 beta=90.00 gamma=90.00
Fractional positions:
Zr 0.000 0.000 0.000
Co 0.500 0.500 0.500
P 0.500 0.500 0.000
S 0.000 0.500 0.500
S 0.500 0.000 0.500


This record from Alexandria describes a geometry-optimized ZrCoP2S structure. The functional is PBE-GGA.

formation energy without anion corrections	713.1	meV/atom
volume	24.7	Å³/atom
excess energy over the best structure of this formula in the dataset	3.52	eV per formula unit
size of the total moment	2.55	Bohr magnetons per cell

Unit cell a=5.023 b=5.023 c=4.893 alpha=90.00 beta=90.00 gamma=90.00
Fractional positions:
Zr 0.000 0.000 0.000
Co 0.500 0.500 0.500
P 0.000 0.500 0.000
P 0.500 0.000 0.000
S 0.000 0.000 0.500


This record from Alexandria describes a geometry-optimized Co2Sb2P structure. The functional is PBE-GGA.

formation energy without anion corrections	288.7	meV/atom
volume	16.4	Å³/atom
excess energy over the best structure of this formula in the dataset	0.00	eV per formula unit
size of the total moment	0.00	Bohr magnetons per cell

Unit cell a=6.862 b=6.862 c=3.488 alpha=90.00 beta=90.00 gamma=90.00
Fractional positions:
Co 0.137 0.363 0.000
Co 0.363 0.863 0.000
Co 0.637 0.137 0.000
Co 0.863 0.637 0.000
Sb 0.162 0.662 0.500
Sb 0.338 0.162 0.500
Sb 0.662 0.838 0.500
Sb 0.838 0.338 0.500
P 0.000 0.000 0.000
P 0.500 0.500 0.000


This record from Alexandria describes a geometry-optimized CoSbP structure. The functional is PBE-GGA.

formation energy without anion corrections	-192.0	meV/atom
volume	16.5	Å³/atom
excess energy over the best structure of this formula in the dataset	0.52	eV per formula unit
size of the total moment	0.00	Bohr magnetons per cell

Unit cell a=5.830 b=5.830 c=5.830 alpha=90.00 beta=90.00 gamma=90.00
Fractional positions:
Co 0.039 0.039 0.039
Co 0.461 0.961 0.539
Co 0.539 0.461 0.961
Co 0.961 0.539 0.461
Sb 0.139 0.639 0.861
Sb 0.361 0.361 0.361
Sb 0.639 0.861 0.139
Sb 0.861 0.139 0.639
P 0.123 0.877 0.377
P 0.377 0.123 0.877
P 0.623 0.623 0.623
P 0.877 0.377 0.123


This record from Alexandria describes a geometry-optimized CoSbP structure. The functional is PBE-GGA.

formation energy without anion corrections	-366.9	meV/atom
volume	16.5	Å³/atom
excess energy over the best structure of this formula in the dataset	0.00	eV per formula unit
size of the total moment	0.00	Bohr magnetons per cell

Unit cell a=6.057 b=5.968 c=6.065 alpha=90.00 beta=115.15 gamma=90.00
Fractional positions:
Co 0.201 0.019 0.202
Co 0.201 0.481 0.702
Co 0.799 0.519 0.298
Co 0.799 0.981 0.798
Sb 0.344 0.628 0.141
Sb 0.344 0.872 0.641
Sb 0.656 0.128 0.359
Sb 0.656 0.372 0.859
P 0.145 0.144 0.835
P 0.145 0.356 0.335
P 0.855 0.644 0.665
P 0.855 0.856 0.165


This record from Alexandria describes a geometry-optimized CoSb2P structure. The functional is PBE-GGA.

formation energy without anion corrections	490.5	meV/atom
volume	19.5	Å³/atom
size of the total moment	1.01	Bohr magnetons per cell

Unit cell a=4.868 b=4.868 c=3.515 alpha=101.12 beta=101.12 gamma=100.90
Fractional positions:
Co 0.000 0.000 0.000
Sb 0.000 0.500 0.500
Sb 0.500 0.000 0.500
P 0.500 0.500 0.000


Look up the formation energy without anion corrections of the third one.
456.3 meV/atom


Look up the volume of the fourth one.
19.8 Å³/atom


The highest formation energy without anion corrections belongs to which entry?
number 4


Repeat the first record exactly.
This record from Alexandria describes a geometry-optimized TiCoPS2 structure. The functional is PBE-GGA.

formation energy without anion corrections	194.4	meV/atom
volume	16.6	Å³/atom
excess energy over the best structure of this formula in the dataset	0.00	eV per formula unit
size of the total moment	0.00	Bohr magnetons per cell

Unit cell a=4.441 b=4.441 c=4.208 alpha=90.00 beta=90.00 gamma=90.00
Fractional positions:
Ti 0.000 0.000 0.000
Co 0.500 0.500 0.500
P 0.500 0.500 0.000
S 0.000 0.500 0.500
S 0.500 0.000 0.500